Cs2NaMo2O7: optimized geometry, PBE with a Hubbard U.

Unit cell a=5.661 b=5.661 c=12.478 alpha=90.00 beta=103.03 gamma=90.00
Space group C2/m (No. 12)
Asymmetric unit:
Cs 0.182 0.000 0.366 x4
Na 0.000 0.000 0.000 x2
Mo 0.081 0.500 0.164 x4
O 0.000 0.500 0.000 x2
O 0.157 0.500 0.315 x4
O 0.172 0.250 0.843 x8

Calculated values
- Electronic total energy: -6.02 eV per atom
- D(E_F): 0.004 states/eV/atom